(1)
First-principles (PBE) data for a relaxed structure of MgRuSe2, as listed in Alexandria via LeMat-Bulk.

Summary:
* space group: R-3m (166)
* theoretical density: 5.00 g cm⁻³

Lattice parameters (Å, degrees): 8.005 8.005 8.005 27.12 27.12 27.12
Fractional coordinates of all 4 atoms:
Mg 0.000 0.000 0.000
Ru 0.500 0.500 0.500
Se 0.112 0.112 0.112
Se 0.888 0.888 0.888

---

(2)
First-principles (PBE) data for a relaxed structure of MgRuSe2, as listed in Alexandria via LeMat-Bulk.

Summary:
* space group: P4mm (99)
* theoretical density: 5.88 g cm⁻³

Lattice parameters (Å, degrees): 3.091 3.091 8.378 90.00 90.00 90.00
Fractional coordinates of all 4 atoms:
Mg 0.000 0.000 0.000
Ru 0.500 0.500 0.244
Se 0.000 0.000 0.387
Se 0.500 0.500 0.790

---

(3)
First-principles (PBE) data for a relaxed structure of MgRuSe2, as listed in Alexandria via LeMat-Bulk.

Summary:
* space group: R-3m (166)
* theoretical density: 5.70 g cm⁻³

Lattice parameters (Å, degrees): 8.467 8.467 8.467 23.17 23.17 23.17
Fractional coordinates of all 4 atoms:
Mg 0.000 0.000 0.000
Ru 0.500 0.500 0.500
Se 0.405 0.405 0.405
Se 0.595 0.595 0.595

---

(4)
First-principles (PBE) data for a relaxed structure of MgRuSe2, as listed in Alexandria via LeMat-Bulk.

Summary:
* space group: Amm2 (38)
* theoretical density: 6.09 g cm⁻³

Lattice parameters (Å, degrees): 5.088 3.918 3.918 81.19 90.00 90.00
Fractional coordinates of all 4 atoms:
Mg 0.000 0.000 0.000
Ru 0.500 0.324 0.324
Se 0.000 0.440 0.440
Se 0.500 0.906 0.906

---

| no. | formation energy from raw total energies (eV per atom) |
| --- | --- |
| 1 | -0.185 |
| 2 | -0.286 |
| 3 | 0.122 |
| 4 | -0.353 |